First-principles (PBE) data for an optimized crystal structure of V2P2Pt, as listed in Alexandria.

Results
SG: P4/mbm (127)
Formation enthalpy at 0 K (meV per atom): -532
M_tot (μB per atom): 0.0000

Cell lengths 6.593, 6.593, 3.089 Å; angles 90.00, 90.00, 90.00 degrees
Fractional positions:
P 0.351 0.851 0.000
P 0.851 0.649 0.000
P 0.649 0.149 0.000
P 0.149 0.351 0.000
Pt 0.000 0.000 0.000
Pt 0.500 0.500 0.000
V 0.141 0.641 0.500
V 0.641 0.859 0.500
V 0.859 0.359 0.500
V 0.359 0.141 0.500

First-principles (PBE) data for an optimized crystal structure of V12P5Pt3, as listed in Alexandria.

Results
SG: Ia-3d (230)
Formation enthalpy at 0 K (meV per atom): 73
M_tot (μB per atom): 0.4355

Cell lengths 12.183, 12.183, 12.183 Å; angles 109.47, 109.47, 109.47 degrees
Fractional positions:
Pt 0.750 0.375 0.125
Pt 0.875 0.750 0.125
Pt 0.375 0.750 0.625
Pt 0.250 0.125 0.375
Pt 0.875 0.125 0.250
Pt 0.375 0.625 0.250
Pt 0.625 0.375 0.750
Pt 0.125 0.875 0.750
Pt 0.750 0.875 0.625
Pt 0.625 0.250 0.375
Pt 0.125 0.250 0.875
Pt 0.250 0.625 0.875
P 0.125 0.375 0.250
P 0.000 0.500 0.000
P 0.000 0.000 0.000
P 0.375 0.250 0.125
P 0.500 0.000 0.500
P 0.500 0.500 0.000
P 0.125 0.750 0.375
P 0.750 0.125 0.875
P 0.750 0.625 0.375
P 0.375 0.125 0.750
P 0.625 0.875 0.250
P 0.500 0.500 0.500
P 0.500 0.000 0.000
P 0.000 0.000 0.500
P 0.250 0.375 0.625
P 0.250 0.875 0.125
P 0.000 0.500 0.500
P 0.875 0.250 0.625
P 0.625 0.750 0.875
P 0.875 0.625 0.750
V 0.720 0.137 0.056
V 0.336 0.556 0.419
V 0.944 0.363 0.280
V 0.556 0.220 0.137
V 0.583 0.720 0.664
V 0.944 0.581 0.164
V 0.336 0.780 0.417
V 0.081 0.917 0.137
V 0.581 0.944 0.664
V 0.720 0.583 0.164
V 0.780 0.444 0.363
V 0.836 0.919 0.056
V 0.137 0.720 0.556
V 0.363 0.419 0.083
V 0.083 0.919 0.363
V 0.417 0.137 0.581
V 0.083 0.164 0.220
V 0.444 0.664 0.081
V 0.836 0.917 0.280
V 0.137 0.417 0.081
V 0.363 0.944 0.780
V 0.581 0.637 0.417
V 0.919 0.836 0.556
V 0.780 0.336 0.917
V 0.419 0.363 0.583
V 0.081 0.164 0.444
V 0.220 0.664 0.083
V 0.164 0.083 0.720
V 0.637 0.056 0.220
V 0.863 0.583 0.919
V 0.556 0.336 0.919
V 0.583 0.863 0.419
V 0.917 0.836 0.780
V 0.917 0.081 0.637
V 0.863 0.280 0.444
V 0.164 0.081 0.944
V 0.637 0.581 0.917
V 0.419 0.056 0.336
V 0.280 0.417 0.836
V 0.220 0.556 0.637
V 0.919 0.083 0.863
V 0.664 0.220 0.583
V 0.444 0.780 0.863
V 0.056 0.419 0.836
V 0.417 0.280 0.336
V 0.056 0.637 0.720
V 0.664 0.444 0.581
V 0.280 0.863 0.944

First-principles (PBE) data for an optimized crystal structure of VPPt3, as listed in Alexandria.

Results
SG: Pm-3m (221)
Formation enthalpy at 0 K (meV per atom): 207
M_tot (μB per atom): 0.6614
Energy above the most stable polymorph in this dataset (eV per atom): 0.000

Cell lengths 4.492, 4.492, 4.492 Å; angles 90.00, 90.00, 90.00 degrees
Fractional positions:
P 0.000 0.000 0.000
Pt 0.000 0.500 0.000
Pt 0.000 0.000 0.500
Pt 0.500 0.000 0.000
V 0.500 0.500 0.500

First-principles (PBE) data for an optimized crystal structure of V2PPt, as listed in Alexandria.

Results
SG: I-42d (122)
Formation enthalpy at 0 K (meV per atom): -234
M_tot (μB per atom): 0.0000

Cell lengths 6.709, 6.709, 5.406 Å; angles 51.65, 51.65, 90.00 degrees
Fractional positions:
P 0.500 0.500 0.000
P 0.250 0.750 0.500
Pt 0.000 0.000 0.000
Pt 0.750 0.250 0.500
V 0.596 0.125 0.250
V 0.154 0.625 0.250
V 0.375 0.404 0.750
V 0.875 0.846 0.750

First-principles (PBE) data for an optimized crystal structure of YVP2Pt, as listed in Alexandria.

Results
SG: P4/mmm (123)
Formation enthalpy at 0 K (meV per atom): 1238
M_tot (μB per atom): 0.0178

Cell lengths 5.077, 5.097, 5.077 Å; angles 90.00, 90.00, 90.00 degrees
Fractional positions:
Y 0.000 0.000 0.000
P 0.000 0.000 0.500
P 0.500 0.000 0.000
Pt 0.000 0.500 0.000
V 0.500 0.500 0.500

First-principles (PBE) data for an optimized crystal structure of Y2VPPt, as listed in Alexandria.

Results
SG: P4/mmm (123)
Formation enthalpy at 0 K (meV per atom): 40
M_tot (μB per atom): 0.0000

Cell lengths 5.179, 4.324, 5.179 Å; angles 90.00, 90.00, 90.00 degrees
Fractional positions:
Y 0.000 0.000 0.500
Y 0.500 0.000 0.000
P 0.000 0.500 0.000
Pt 0.500 0.500 0.500
V 0.000 0.000 0.000

First-principles (PBE) data for an optimized crystal structure of P2PtW, as listed in Alexandria.

Results
SG: R3m (160)
Formation enthalpy at 0 K (meV per atom): -15
M_tot (μB per atom): 0.0000
Energy above the most stable polymorph in this dataset (eV per atom): 0.244

Cell lengths 7.562, 7.562, 7.562 Å; angles 23.51, 23.51, 23.51 degrees
Fractional positions:
P 0.998 0.998 0.998
P 0.251 0.251 0.251
Pt 0.511 0.511 0.511
W 0.740 0.740 0.740

First-principles (PBE) data for an optimized crystal structure of P2Pt2W, as listed in Alexandria.

Results
SG: I4/mmm (139)
Formation enthalpy at 0 K (meV per atom): 300
M_tot (μB per atom): 0.2508
Energy above the most stable polymorph in this dataset (eV per atom): 0.303

Cell lengths 4.701, 4.701, 4.911 Å; angles 61.40, 61.40, 90.00 degrees
Fractional positions:
P 0.341 0.341 0.317
P 0.659 0.659 0.683
W 0.000 0.000 0.000
Pt 0.750 0.250 0.500
Pt 0.250 0.750 0.500

First-principles (PBE) data for an optimized crystal structure of P2PtW, as listed in Alexandria.

Results
SG: P2/m (10)
Formation enthalpy at 0 K (meV per atom): -59
M_tot (μB per atom): 0.0000
Energy above the most stable polymorph in this dataset (eV per atom): 0.199

Cell lengths 3.081, 5.086, 5.064 Å; angles 47.19, 90.00, 90.00 degrees
Fractional positions:
P 0.000 0.000 0.000
P 0.500 0.500 0.000
Pt 0.500 0.500 0.500
W 0.000 0.000 0.500

First-principles (PBE) data for an optimized crystal structure of PPtW2, as listed in Alexandria.

Results
SG: R3m (160)
Formation enthalpy at 0 K (meV per atom): 91
M_tot (μB per atom): 0.0000

Cell lengths 8.704, 8.704, 8.704 Å; angles 19.15, 19.15, 19.15 degrees
Fractional positions:
P 0.495 0.495 0.495
Pt 0.247 0.247 0.247
W 0.000 0.000 0.000
W 0.758 0.758 0.758

First-principles (PBE) data for an optimized crystal structure of P2PtW, as listed in Alexandria.

Results
SG: C2/m (12)
Formation enthalpy at 0 K (meV per atom): -43
M_tot (μB per atom): 0.0000
Energy above the most stable polymorph in this dataset (eV per atom): 0.216

Cell lengths 4.337, 4.337, 5.027 Å; angles 90.07, 90.07, 41.45 degrees
Fractional positions:
P 0.963 0.963 0.062
P 0.537 0.537 0.438
Pt 0.750 0.750 0.750
W 0.250 0.250 0.250

First-principles (PBE) data for an optimized crystal structure of PPtW2, as listed in Alexandria.

Results
SG: P2/m (10)
Formation enthalpy at 0 K (meV per atom): 14
M_tot (μB per atom): 0.0000

Cell lengths 4.007, 2.790, 5.638 Å; angles 75.13, 90.00, 90.00 degrees
Fractional positions:
P 0.500 0.500 0.000
Pt 0.500 0.500 0.500
W 0.000 0.843 0.765
W 0.000 0.157 0.235

Among the records above, which one has the highest M_tot?
VPPt3

What is the formation enthalpy at 0 K in the seventh record?
-15 meV per atom